Record 1
This record from the Alexandria database describes a geometry-optimized Pr8Ag3Pt2 structure. The functional is PBE.

Results
The magnetic moment is 0.00 μB per cell. The value obtained for the theoretical density is 7.6 g/cm³. The formation energy is -0.365 eV per atom.

a = 16.061 Å, b = 7.752 Å, c = 6.512 Å
α = 90.00°, β = 99.52°, γ = 90.00°
Space group C2/m (No. 12)
One atom of each set of equivalent atoms:
Pr: 0.075 0.000 0.321 (multiplicity 4)
Pr: 0.138 0.246 0.869 (multiplicity 8)
Pr: 0.186 0.500 0.377 (multiplicity 4)
Ag: 0.000 0.327 0.500 (multiplicity 4)
Ag: 0.000 0.500 0.000 (multiplicity 2)
Pt: 0.234 0.000 0.174 (multiplicity 4)

---

Record 2
This record from the Alexandria database describes a geometry-optimized PrAg2Pt9 structure. The functional is PBE.

Results
The magnetic moment is 0.00 μB per cell. The value obtained for the theoretical density is 16.0 g/cm³. The formation energy is -0.326 eV per atom.

a = 5.3818 Å, b = 5.3818 Å, c = 26.1676 Å
α = 90.00°, β = 90.00°, γ = 120.00°
Space group R-3m (No. 166, hexagonal axes)
One atom of each set of equivalent atoms:
Pr: 0.0000 0.0000 0.0000 (multiplicity 3)
Ag: 0.0000 0.0000 0.1483 (multiplicity 6)
Pt: 0.0000 0.0000 0.3335 (multiplicity 6)
Pt: 0.0000 0.0000 0.5000 (multiplicity 3)
Pt: 0.0038 0.5019 0.9147 (multiplicity 18)